DFT (PBE) results for an optimized crystal structure of AcPm2ThAs4.

Cell lengths 7.453, 4.318, 7.497 Å; angles 90.00, 109.42, 90.00 degrees
Fractional coordinates of all 8 atoms:
1 Ac 0.000 0.000 0.000
2 Pm 0.500 0.000 0.500
3 Pm 0.500 0.500 0.000
4 Th 0.000 0.500 0.500
5 As 0.253 0.000 0.742
6 As 0.259 0.500 0.263
7 As 0.741 0.500 0.737
8 As 0.747 0.000 0.258

Calculated values
N(E_F) in states/eV/cell: 1.7
Total DFT energy (no corrections) in eV per formula unit: -51.500
Symmetry: P2/m
Energy of formation in kJ/mol of formula units: -1145
Magnetization in μB/atom: 0.000